# Na5Ni2P2C2O14 GGA+U relaxed
data_Na5Ni2P2C2O14
_chemical_formula_sum 'Na10 Ni4 P4 C4 O28'
_space_group_name_H-M_alt 'P -1'
_space_group_IT_number 2
_space_group_name_Hall '-P 1'
_cell_length_a 5.1689
_cell_length_b 11.0928
_cell_length_c 11.1701
_cell_angle_alpha 73.31
_cell_angle_beta 89.07
_cell_angle_gamma 89.09
loop_
_atom_site_label
_atom_site_type_symbol
_atom_site_fract_x
_atom_site_fract_y
_atom_site_fract_z
_atom_site_occupancy
Na1 Na 0.2314 0.0871 0.3321 1
Na2 Na 0.2419 0.6175 0.1323 1
Na3 Na 0.2466 0.3860 0.3723 1
Na4 Na 0.2487 0.8802 0.8803 1
Na5 Na 0.2529 0.1299 0.6360 1
Ni1 Ni 0.2146 0.2004 0.9450 1
Ni2 Ni 0.2177 0.6993 0.4505 1
P1 P 0.2882 0.4159 0.6634 1
P2 P 0.2894 0.9161 0.1666 1
C1 C 0.2726 0.3374 0.0854 1
C2 C 0.2763 0.8422 0.5926 1
O1 O 0.0474 0.3065 0.0537 1
O2 O 0.0511 0.8130 0.5589 1
O3 O 0.1511 0.8389 0.0923 1
O4 O 0.1548 0.3395 0.5857 1
O5 O 0.2052 0.3684 0.8027 1
O6 O 0.2116 0.5571 0.6164 1
O7 O 0.2145 0.0585 0.1213 1
O8 O 0.2189 0.8729 0.3086 1
O9 O 0.2950 0.9138 0.6649 1
O10 O 0.2991 0.4021 0.1605 1
O11 O 0.4108 0.0980 0.8500 1
O12 O 0.4114 0.5999 0.3482 1
O13 O 0.4689 0.2928 0.0357 1
O14 O 0.4807 0.7986 0.5488 1
# uncorrected energy: -6.22 eV/atom